# 1
20
Lattice="10.368 0.000 0.000 -5.184 8.979 0.000 0.000 0.000 6.182" Properties=species:S:1:pos:R:3 comment="Tb7Al3, optimized geometry, DFT GGA-PBE" e_form_ev_per_atom=-0.15 e_tot_ha_per_atom=-0.166 dos_ef_per_ev_atom=1.490 vol_a3_per_atom=28.78 pbc="T T T"
Tb -2.144 4.748 0.000
Tb 0.000 2.195 4.693
Tb -3.283 7.882 4.693
Tb 1.901 1.098 1.602
Tb 0.000 5.986 3.505
Tb 2.144 4.748 0.000
Tb 0.000 8.462 0.000
Tb 5.184 0.517 3.091
Tb 3.040 4.231 3.091
Tb 5.184 2.993 0.414
Tb 3.283 7.882 4.693
Tb 8.467 1.098 1.602
Tb 5.184 6.784 1.602
Tb 7.328 4.231 3.091
Al 0.000 3.485 1.836
Al -2.166 7.237 1.836
Al 3.018 1.742 4.927
Al 2.166 7.237 1.836
Al 7.350 1.742 4.927
Al 5.184 5.494 4.927


# 2
20
Lattice="9.199 0.000 0.000 0.000 9.199 0.000 0.000 0.000 5.572" Properties=species:S:1:pos:R:3 comment="TbAl4, optimized geometry, DFT GGA-PBE" e_form_ev_per_atom=0.15 e_tot_ha_per_atom=-0.139 dos_ef_per_ev_atom=0.650 vol_a3_per_atom=23.58 pbc="T T T"
Tb 1.368 3.232 0.000
Tb 3.232 7.831 0.000
Tb 5.967 1.368 0.000
Tb 7.831 5.967 0.000
Al 0.000 0.000 1.197
Al 0.000 0.000 4.375
Al 0.923 5.522 2.786
Al 1.018 1.794 2.786
Al 1.794 8.181 2.786
Al 2.806 3.582 2.786
Al 3.582 6.393 2.786
Al 3.677 0.923 2.786
Al 4.599 4.599 1.197
Al 4.599 4.599 4.375
Al 5.522 8.276 2.786
Al 5.617 2.806 2.786
Al 6.393 5.617 2.786
Al 7.405 1.018 2.786
Al 8.181 7.405 2.786
Al 8.276 3.677 2.786


# 3
7
Lattice="-1.803 2.264 9.892 1.803 -2.264 9.892 1.803 2.264 -9.892" Properties=species:S:1:pos:R:3 comment="Tb3Al4, optimized geometry, DFT GGA-PBE" e_form_ev_per_atom=-0.43 e_tot_ha_per_atom=-0.167 relative_energy_ev_per_atom=0.0000 dos_ef_per_ev_atom=0.778 vol_a3_per_atom=23.07 pbc="T T T"
Tb 0.000 0.000 0.000
Tb 1.803 0.000 6.030
Tb 0.000 2.264 3.862
Al 1.803 0.000 2.744
Al 0.000 0.000 8.584
Al 0.000 0.000 11.201
Al 0.000 2.264 7.148


# 4
5
Lattice="5.571 0.000 0.000 0.000 5.571 0.000 0.000 0.000 5.571" Properties=species:S:1:pos:R:3 comment="Tb4Al, optimized geometry, DFT GGA-PBE" e_form_ev_per_atom=0.33 e_tot_ha_per_atom=-0.152 relative_energy_ev_per_atom=0.4715 dos_ef_per_ev_atom=1.794 vol_a3_per_atom=34.57 pbc="T T T"
Tb 0.000 0.000 0.000
Tb 0.000 2.785 2.785
Tb 2.785 0.000 2.785
Tb 2.785 2.785 0.000
Al 2.785 2.785 2.785


# 5
12
Lattice="7.218 0.000 0.000 0.000 7.218 0.000 0.000 0.000 5.431" Properties=species:S:1:pos:R:3 comment="TbAlTc, optimized geometry, DFT GGA-PBE" e_form_ev_per_atom=0.23 e_tot_ha_per_atom=-0.221 relative_energy_ev_per_atom=0.6498 dos_ef_per_ev_atom=0.561 vol_a3_per_atom=23.58 pbc="T T T"
Tb 1.630 1.630 0.000
Tb 1.979 5.239 1.358
Tb 5.239 1.979 4.073
Tb 5.588 5.588 2.715
Al 0.490 0.490 2.715
Al 3.119 4.099 4.073
Al 4.099 3.119 1.358
Al 6.728 6.728 0.000
Tc 1.351 5.866 4.073
Tc 2.258 2.258 2.715
Tc 4.960 4.960 0.000
Tc 5.866 1.351 1.358


# 6
12
Lattice="7.833 0.000 0.000 0.000 4.130 0.000 0.000 0.000 6.929" Properties=species:S:1:pos:R:3 comment="TbAl4Tc, optimized geometry, DFT GGA-PBE" e_form_ev_per_atom=-0.42 e_tot_ha_per_atom=-0.199 dos_ef_per_ev_atom=0.647 vol_a3_per_atom=18.68 pbc="T T T"
Tb 1.958 0.000 0.911
Tb 5.875 0.000 6.018
Al 0.000 0.000 3.465
Al 0.510 2.065 5.628
Al 1.958 2.065 3.207
Al 3.406 2.065 5.628
Al 3.916 0.000 3.465
Al 4.427 2.065 1.301
Al 5.875 2.065 3.723
Al 7.322 2.065 1.301
Tc 1.958 0.000 4.873
Tc 5.875 0.000 2.056


# 7
6
Lattice="-2.691 2.813 3.777 2.691 -2.813 3.777 2.691 2.813 -3.777" Properties=species:S:1:pos:R:3 comment="TbAlTc, optimized geometry, DFT GGA-PBE" e_form_ev_per_atom=-0.42 e_tot_ha_per_atom=-0.245 relative_energy_ev_per_atom=0.0000 dos_ef_per_ev_atom=0.684 vol_a3_per_atom=19.06 pbc="T T T"
Tb 0.000 1.407 0.873
Tb 2.691 1.407 2.904
Al 2.691 0.000 0.000
Al 0.000 0.000 3.777
Tc 1.345 1.407 -1.888
Tc 1.345 -1.407 1.888


# 8
9
Lattice="5.784 0.000 0.000 -2.892 5.009 0.000 0.000 0.000 5.967" Properties=species:S:1:pos:R:3 comment="Tb2Al6Tc, optimized geometry, DFT GGA-PBE" e_form_ev_per_atom=-0.41 e_tot_ha_per_atom=-0.187 dos_ef_per_ev_atom=0.556 vol_a3_per_atom=19.21 pbc="T T T"
Tb 0.000 3.339 2.138
Tb 2.892 1.670 3.829
Al 0.000 1.712 4.898
Al -1.410 4.153 4.898
Al 1.482 0.856 1.070
Al 1.410 4.153 4.898
Al 4.302 0.856 1.070
Al 2.892 3.297 1.070
Tc 0.000 0.000 2.984


- What is the formula in the second record?
  TbAl4


- Number 5 is which compound?
  TbAlTc